No. 1
Below is Sm2GaPb after structural relaxation, with properties calculated at the PBE level.

Results
Magnetization, μB/atom: 0.00
Calculated formation energy, meV per atom: -517
Crystal system: tetragonal

Lattice parameters (Å, degrees): 3.510 3.510 8.715 90.00 90.00 90.00
Element x y z (fractional)
Pb: 0.500 0.500 0.500
Ga: 0.500 0.500 0.000
Sm: 0.000 0.000 0.773
Sm: 0.000 0.000 0.227

=====

No. 2
Below is Li3TaF6 after structural relaxation, with properties calculated at the PBE level.

Results
Magnetization, μB/atom: 0.20
Offset from the most stable computed form, meV per atom: 0
Formation energy without anion corrections, eV per formula unit: -26.94
Crystal system: monoclinic

Lattice parameters (Å, degrees): 5.562 6.086 6.197 119.42 122.65 90.00
Element x y z (fractional)
Li: 0.500 0.500 0.000
Li: 0.000 0.000 0.500
Li: 0.000 0.500 0.500
Ta: 0.000 0.000 0.000
F: 0.220 0.728 0.944
F: 0.780 0.272 0.056
F: 0.218 0.217 0.944
F: 0.782 0.783 0.056
F: 0.203 0.252 0.504
F: 0.797 0.748 0.496

=====

No. 3
Below is Li3MgO after structural relaxation, with properties calculated at the PBE level.

Results
Magnetization, μB/atom: 0.00
Offset from the most stable computed form, meV per atom: 1461
Formation energy without anion corrections, eV per formula unit: 3.40
Crystal system: cubic

Lattice parameters (Å, degrees): 4.894 4.894 4.894 90.00 90.00 90.00
Element x y z (fractional)
Mg: 0.000 0.000 0.000
O: 0.500 0.500 0.500
Li: 0.000 0.500 0.000
Li: 0.000 0.000 0.500
Li: 0.500 0.000 0.000

=====

No. 4
Below is LiTaSiTc after structural relaxation, with properties calculated at the PBE level.

Results
Magnetization, μB/atom: 0.00
Formation energy without anion corrections, eV per formula unit: -1.10
Crystal system: cubic

Lattice parameters (Å, degrees): 4.311 4.311 4.311 60.00 60.00 60.00
Element x y z (fractional)
Si: 0.750 0.750 0.750
Li: 0.500 0.500 0.500
Tc: 0.000 0.000 0.000
Ta: 0.250 0.250 0.250

=====

Question: Which of these has the highest magnetization?
Answer: Li3TaF6